# Pm4Ho4Er3

An optimized crystal structure of Pm4Ho4Er3 (PBE, Alexandria via LeMat-Bulk).

Properties
ΔH_f (0 K), eV per atom: 0.1820

Cell: 3.5429 11.2542 10.8508 Å, 121.24 99.39 90.00°
With the nearest neighbours (Å) after each atom.
Element x y z (fractional)
Ho: 0.6713 0.4234 0.3425  4 Pm 3.15-3.52, 2 Ho 3.37
Ho: 0.3287 0.0809 0.6575  4 Pm 3.15-3.52, 2 Ho 3.37
Ho: 0.3287 0.5766 0.6575  4 Pm 3.15-3.52, 2 Ho 3.37
Ho: 0.6713 0.9191 0.3425  4 Pm 3.15-3.52, 2 Ho 3.37
Er: 0.1082 0.1082 0.2165  4 Ho 3.54, 3 Er 3.54-3.94, 6 Pm 3.56-3.69
Er: 0.8918 0.8918 0.7835  4 Ho 3.54, 3 Er 3.54-3.94, 6 Pm 3.56-3.69
Er: 0.0000 0.5000 0.0000  2 Er 3.54, 6 Pm 3.70-3.90
Pm: 0.5000 0.7891 0.0000  2 Ho 3.15
Pm: 0.7859 0.2859 0.5719  6 Ho 3.40-3.52, 2 Pm 3.54, 2 Er 3.69
Pm: 0.5000 0.2109 0.0000  2 Ho 3.15
Pm: 0.2141 0.7141 0.4281  6 Ho 3.40-3.52, 2 Pm 3.54, 2 Er 3.69



# Pm2HoEr9

An optimized crystal structure of Pm2HoEr9 (PBE, Alexandria via LeMat-Bulk).

Properties
ΔH_f (0 K), eV per atom: 1.4121

Cell: 5.9018 11.8827 11.8827 Å, 120.00 90.00 90.00°
With the nearest neighbours (Å) after each atom.
Element x y z (fractional)
Er: 0.5000 0.8477 0.4239  5 Er 3.13-3.34, 2 Pm 3.49
Er: 0.0000 0.5000 0.5000  4 Er 3.34, 2 Pm 3.43
Er: 0.0000 0.5000 0.0000  4 Er 3.34, 2 Pm 3.43
Er: 0.5000 0.1523 0.5761  5 Er 3.13-3.34, 2 Pm 3.49
Er: 0.5000 0.4239 0.8477  5 Er 3.13-3.34, 2 Pm 3.49
Er: 0.5000 0.5761 0.1523  5 Er 3.13-3.34, 2 Pm 3.49
Er: 0.5000 0.5761 0.4239  5 Er 3.13-3.34, 2 Pm 3.49
Er: 0.5000 0.4239 0.5761  5 Er 3.13-3.34, 2 Pm 3.49
Er: 0.0000 0.0000 0.5000  4 Er 3.34, 2 Pm 3.43
Pm: 0.0000 0.3333 0.6667  9 Er 3.43-3.49
Pm: 0.0000 0.6667 0.3333  9 Er 3.43-3.49
Ho: 0.0000 0.0000 0.0000  2 Ho 5.90, 6 Er 5.94



# Pm4Ho3Er2

An optimized crystal structure of Pm4Ho3Er2 (PBE, Alexandria via LeMat-Bulk).

Properties
ΔH_f (0 K), eV per atom: 0.0178

Cell: 5.0628 6.1776 10.7315 Å, 73.42 89.99 65.86°
With the nearest neighbours (Å) after each atom.
Element x y z (fractional)
Pm: 0.3334 0.3332 0.1112  4 Ho 3.57-3.59, 4 Er 3.57-3.59, 4 Pm 3.58
Pm: 0.9994 0.0011 0.6671  3 Er 3.56-3.57, 6 Ho 3.57-3.58, 3 Pm 3.58-3.59
Pm: 0.6666 0.6667 0.8888  4 Ho 3.57-3.59, 4 Er 3.57-3.59, 4 Pm 3.58
Pm: 0.0006 0.9989 0.3329  3 Er 3.56-3.57, 6 Ho 3.57-3.58, 3 Pm 3.58-3.59
Ho: 0.3338 0.3325 0.4457  3 Er 3.55-3.58, 3 Ho 3.56-3.57, 6 Pm 3.57-3.59
Ho: 0.6662 0.6675 0.5543  3 Er 3.55-3.58, 3 Ho 3.56-3.57, 6 Pm 3.57-3.59
Ho: 0.0000 0.0000 0.0000  8 Pm 3.57, 4 Er 3.59-3.60
Er: 0.3320 0.3359 0.7761  5 Ho 3.55-3.60, 7 Pm 3.56-3.59
Er: 0.6680 0.6641 0.2239  5 Ho 3.55-3.60, 7 Pm 3.56-3.59



no.,electronic total energy (eV/atom),offset from the most stable computed form (meV/atom)
1,-4.455,119
2,-3.183,1388
3,-4.633,0